[1]
# PBE SrPa2AsN5, optimized geometry
# raw formation energy: -896 meV/atom
# density of states at the Fermi level: 10.92 states/eV/cell
# volume: 14.06 Å³/atom
# density: 9.12 Mg/m³
# symmetry: I4/mcm
# crystal system: tetragonal
data_SrPa2AsN5
_cell_length_a 7.381
_cell_length_b 7.381
_cell_length_c 7.381
_cell_angle_alpha 126.21
_cell_angle_beta 126.21
_cell_angle_gamma 79.55
_symmetry_space_group_name_H-M 'P 1'
_symmetry_Int_Tables_number 1
loop_
_symmetry_equiv_pos_as_xyz
'x,y,z'
loop_
_atom_site_label
_atom_site_type_symbol
_atom_site_fract_x
_atom_site_fract_y
_atom_site_fract_z
Sr1 Sr 0.250 0.250 0.000
Sr2 Sr 0.750 0.750 0.000
Pa1 Pa 0.184 0.684 0.868
Pa2 Pa 0.316 0.184 0.500
Pa3 Pa 0.684 0.816 0.500
Pa4 Pa 0.816 0.316 0.132
As1 As 0.250 0.750 0.500
As2 As 0.750 0.250 0.500
N1 N 0.000 0.000 0.000
N2 N 0.003 0.217 0.500
N3 N 0.217 0.717 0.214
N4 N 0.283 0.497 0.500
N5 N 0.497 0.997 0.214
N6 N 0.500 0.500 0.000
N7 N 0.503 0.003 0.786
N8 N 0.717 0.503 0.500
N9 N 0.783 0.283 0.786
N10 N 0.997 0.783 0.500

***

[2]
# PBE Sr2TbTlSe4, optimized geometry
# raw formation energy: -1644 meV/atom
# density of states at the Fermi level: 0.00 states/eV/cell
# volume: 30.17 Å³/atom
# density: 5.88 Mg/m³
# symmetry: P2/m
# crystal system: monoclinic
data_Sr2TbTlSe4
_cell_length_a 7.435
_cell_length_b 4.382
_cell_length_c 7.824
_cell_angle_alpha 90.00
_cell_angle_beta 108.75
_cell_angle_gamma 90.00
_symmetry_space_group_name_H-M 'P 1'
_symmetry_Int_Tables_number 1
loop_
_symmetry_equiv_pos_as_xyz
'x,y,z'
loop_
_atom_site_label
_atom_site_type_symbol
_atom_site_fract_x
_atom_site_fract_y
_atom_site_fract_z
Sr1 Sr 0.000 0.000 0.000
Sr2 Sr 0.000 0.500 0.500
Tb1 Tb 0.500 0.000 0.500
Tl1 Tl 0.500 0.500 0.000
Se1 Se 0.254 0.000 0.724
Se2 Se 0.265 0.500 0.273
Se3 Se 0.735 0.500 0.727
Se4 Se 0.746 0.000 0.276

***

[3]
# PBE MgNbCl, optimized geometry
# raw formation energy: -406 meV/atom
# density of states at the Fermi level: 1.37 states/eV/cell
# volume: 19.71 Å³/atom
# density: 4.29 Mg/m³
# symmetry: P2_1/m
# crystal system: monoclinic
# relative energy among the computed polymorphs: 0.208 eV/atom
data_MgNbCl
_cell_length_a 3.223
_cell_length_b 4.759
_cell_length_c 7.712
_cell_angle_alpha 90.00
_cell_angle_beta 91.09
_cell_angle_gamma 90.00
_symmetry_space_group_name_H-M 'P 1'
_symmetry_Int_Tables_number 1
loop_
_symmetry_equiv_pos_as_xyz
'x,y,z'
loop_
_atom_site_label
_atom_site_type_symbol
_atom_site_fract_x
_atom_site_fract_y
_atom_site_fract_z
Mg1 Mg 0.054 0.250 0.222
Mg2 Mg 0.946 0.750 0.778
Nb1 Nb 0.388 0.750 0.455
Nb2 Nb 0.612 0.250 0.545
Cl1 Cl 0.263 0.750 0.102
Cl2 Cl 0.737 0.250 0.898

***

[4]
# PBE HfTi2Be2, optimized geometry
# density of states at the Fermi level: 11.52 states/eV/cell
# volume: 14.79 Å³/atom
# density: 6.56 Mg/m³
# symmetry: P4/mbm
# crystal system: tetragonal
# ΔH_f (0 K): 0.12 eV/atom
# relative energy among the computed polymorphs: 0.148 eV/atom
data_HfTi2Be2
_cell_length_a 7.366
_cell_length_b 7.366
_cell_length_c 2.726
_cell_angle_alpha 90.00
_cell_angle_beta 90.00
_cell_angle_gamma 90.00
_symmetry_space_group_name_H-M 'P 1'
_symmetry_Int_Tables_number 1
loop_
_symmetry_equiv_pos_as_xyz
'x,y,z'
loop_
_atom_site_label
_atom_site_type_symbol
_atom_site_fract_x
_atom_site_fract_y
_atom_site_fract_z
Hf1 Hf 0.000 0.000 0.000
Hf2 Hf 0.500 0.500 0.000
Ti1 Ti 0.123 0.377 0.000
Ti2 Ti 0.377 0.877 0.000
Ti3 Ti 0.623 0.123 0.000
Ti4 Ti 0.877 0.623 0.000
Be1 Be 0.174 0.674 0.500
Be2 Be 0.326 0.174 0.500
Be3 Be 0.674 0.826 0.500
Be4 Be 0.826 0.326 0.500

***

[5]
# PBE GdErMgRu, optimized geometry
# density of states at the Fermi level: 3.85 states/eV/cell
# volume: 22.38 Å³/atom
# density: 8.35 Mg/m³
# symmetry: F-43m
# crystal system: cubic
# ΔH_f (0 K): -0.19 eV/atom
data_GdErMgRu
_cell_length_a 5.021
_cell_length_b 5.021
_cell_length_c 5.021
_cell_angle_alpha 60.00
_cell_angle_beta 60.00
_cell_angle_gamma 60.00
_symmetry_space_group_name_H-M 'P 1'
_symmetry_Int_Tables_number 1
loop_
_symmetry_equiv_pos_as_xyz
'x,y,z'
loop_
_atom_site_label
_atom_site_type_symbol
_atom_site_fract_x
_atom_site_fract_y
_atom_site_fract_z
Gd1 Gd 0.000 0.000 0.000
Er1 Er 0.500 0.500 0.500
Mg1 Mg 0.750 0.750 0.750
Ru1 Ru 0.250 0.250 0.250

***

[6]
# PBE HfTl5S5, optimized geometry
# raw formation energy: -575 meV/atom
# density of states at the Fermi level: 4.83 states/eV/cell
# volume: 28.36 Å³/atom
# density: 7.24 Mg/m³
# symmetry: C2/m
# crystal system: monoclinic
data_HfTl5S5
_cell_length_a 8.165
_cell_length_b 8.165
_cell_length_c 8.815
_cell_angle_alpha 115.81
_cell_angle_beta 115.81
_cell_angle_gamma 36.68
_symmetry_space_group_name_H-M 'P 1'
_symmetry_Int_Tables_number 1
loop_
_symmetry_equiv_pos_as_xyz
'x,y,z'
loop_
_atom_site_label
_atom_site_type_symbol
_atom_site_fract_x
_atom_site_fract_y
_atom_site_fract_z
Hf1 Hf 0.000 0.000 0.000
Tl1 Tl 0.000 0.000 0.500
Tl2 Tl 0.294 0.294 0.719
Tl3 Tl 0.369 0.369 0.207
Tl4 Tl 0.631 0.631 0.793
Tl5 Tl 0.706 0.706 0.281
S1 S 0.111 0.111 0.323
S2 S 0.154 0.154 0.966
S3 S 0.500 0.500 0.000
S4 S 0.846 0.846 0.034
S5 S 0.889 0.889 0.677

***

[7]
# PBE CsCaN2O, optimized geometry
# raw formation energy: 1223 meV/atom
# density of states at the Fermi level: 3.82 states/eV/cell
# volume: 16.95 Å³/atom
# density: 4.25 Mg/m³
# symmetry: P4/mmm
# crystal system: tetragonal
data_CsCaN2O
_cell_length_a 4.357
_cell_length_b 4.357
_cell_length_c 4.465
_cell_angle_alpha 90.00
_cell_angle_beta 90.00
_cell_angle_gamma 90.00
_symmetry_space_group_name_H-M 'P 1'
_symmetry_Int_Tables_number 1
loop_
_symmetry_equiv_pos_as_xyz
'x,y,z'
loop_
_atom_site_label
_atom_site_type_symbol
_atom_site_fract_x
_atom_site_fract_y
_atom_site_fract_z
Cs1 Cs 0.000 0.000 0.000
Ca1 Ca 0.500 0.500 0.500
N1 N 0.000 0.500 0.000
N2 N 0.500 0.000 0.000
O1 O 0.000 0.000 0.500

***

[8]
# PBE LiDyCuPb, optimized geometry
# density of states at the Fermi level: 2.07 states/eV/cell
# volume: 19.68 Å³/atom
# density: 9.28 Mg/m³
# symmetry: F-43m
# crystal system: cubic
# ΔH_f (0 K): -0.24 eV/atom
data_LiDyCuPb
_cell_length_a 4.811
_cell_length_b 4.811
_cell_length_c 4.811
_cell_angle_alpha 60.00
_cell_angle_beta 60.00
_cell_angle_gamma 60.00
_symmetry_space_group_name_H-M 'P 1'
_symmetry_Int_Tables_number 1
loop_
_symmetry_equiv_pos_as_xyz
'x,y,z'
loop_
_atom_site_label
_atom_site_type_symbol
_atom_site_fract_x
_atom_site_fract_y
_atom_site_fract_z
Li1 Li 0.000 0.000 0.000
Dy1 Dy 0.250 0.250 0.250
Cu1 Cu 0.500 0.500 0.500
Pb1 Pb 0.750 0.750 0.750

***

[9]
# PBE Sm2Th2Bi5, optimized geometry
# density of states at the Fermi level: 10.18 states/eV/cell
# volume: 32.85 Å³/atom
# density: 10.16 Mg/m³
# symmetry: Cmce
# crystal system: orthorhombic
# ΔH_f (0 K): -0.65 eV/atom
data_Sm2Th2Bi5
_cell_length_a 9.160
_cell_length_b 9.160
_cell_length_c 8.561
_cell_angle_alpha 90.00
_cell_angle_beta 90.00
_cell_angle_gamma 55.43
_symmetry_space_group_name_H-M 'P 1'
_symmetry_Int_Tables_number 1
loop_
_symmetry_equiv_pos_as_xyz
'x,y,z'
loop_
_atom_site_label
_atom_site_type_symbol
_atom_site_fract_x
_atom_site_fract_y
_atom_site_fract_z
Sm1 Sm 0.152 0.848 0.845
Sm2 Sm 0.348 0.652 0.345
Sm3 Sm 0.652 0.348 0.655
Sm4 Sm 0.848 0.152 0.155
Th1 Th 0.193 0.193 0.500
Th2 Th 0.307 0.307 0.000
Th3 Th 0.693 0.693 0.000
Th4 Th 0.807 0.807 0.500
Bi1 Bi 0.000 0.000 0.500
Bi2 Bi 0.015 0.704 0.154
Bi3 Bi 0.204 0.515 0.654
Bi4 Bi 0.296 0.985 0.154
Bi5 Bi 0.485 0.796 0.654
Bi6 Bi 0.500 0.500 0.000
Bi7 Bi 0.515 0.204 0.346
Bi8 Bi 0.704 0.015 0.846
Bi9 Bi 0.796 0.485 0.346
Bi10 Bi 0.985 0.296 0.846

***

[10]
# PBE AlZn2In, optimized geometry
# density of states at the Fermi level: 1.07 states/eV/cell
# volume: 18.44 Å³/atom
# density: 6.14 Mg/m³
# symmetry: P4mm
# crystal system: tetragonal
# ΔH_f (0 K): 0.12 eV/atom
# relative energy among the computed polymorphs: 0.031 eV/atom
data_AlZn2In
_cell_length_a 2.995
_cell_length_b 2.995
_cell_length_c 8.220
_cell_angle_alpha 90.00
_cell_angle_beta 90.00
_cell_angle_gamma 90.00
_symmetry_space_group_name_H-M 'P 1'
_symmetry_Int_Tables_number 1
loop_
_symmetry_equiv_pos_as_xyz
'x,y,z'
loop_
_atom_site_label
_atom_site_type_symbol
_atom_site_fract_x
_atom_site_fract_y
_atom_site_fract_z
Al1 Al 0.000 0.000 0.000
Zn1 Zn 0.000 0.000 0.565
Zn2 Zn 0.500 0.500 0.774
In1 In 0.500 0.500 0.293

***

[11]
# PBE KAcNd2Te4, optimized geometry
# raw formation energy: -1431 meV/atom
# density of states at the Fermi level: 3.06 states/eV/cell
# volume: 35.55 Å³/atom
# density: 6.22 Mg/m³
# symmetry: P2/m
# crystal system: monoclinic
data_KAcNd2Te4
_cell_length_a 8.001
_cell_length_b 4.576
_cell_length_c 8.191
_cell_angle_alpha 90.00
_cell_angle_beta 108.49
_cell_angle_gamma 90.00
_symmetry_space_group_name_H-M 'P 1'
_symmetry_Int_Tables_number 1
loop_
_symmetry_equiv_pos_as_xyz
'x,y,z'
loop_
_atom_site_label
_atom_site_type_symbol
_atom_site_fract_x
_atom_site_fract_y
_atom_site_fract_z
K1 K 0.000 0.000 0.000
Ac1 Ac 0.500 0.500 0.000
Nd1 Nd 0.000 0.500 0.500
Nd2 Nd 0.500 0.000 0.500
Te1 Te 0.246 0.000 0.736
Te2 Te 0.260 0.500 0.269
Te3 Te 0.740 0.500 0.731
Te4 Te 0.754 0.000 0.264

***

[12]
# PBE Zr2FeP, optimized geometry
# density of states at the Fermi level: 3.30 states/eV/cell
# volume: 16.20 Å³/atom
# density: 6.90 Mg/m³
# symmetry: F-43m
# crystal system: cubic
# ΔH_f (0 K): 0.07 eV/atom
data_Zr2FeP
_cell_length_a 4.509
_cell_length_b 4.509
_cell_length_c 4.509
_cell_angle_alpha 60.00
_cell_angle_beta 60.00
_cell_angle_gamma 60.00
_symmetry_space_group_name_H-M 'P 1'
_symmetry_Int_Tables_number 1
loop_
_symmetry_equiv_pos_as_xyz
'x,y,z'
loop_
_atom_site_label
_atom_site_type_symbol
_atom_site_fract_x
_atom_site_fract_y
_atom_site_fract_z
Zr1 Zr 0.000 0.000 0.000
Zr2 Zr 0.250 0.250 0.250
Fe1 Fe 0.500 0.500 0.500
P1 P 0.750 0.750 0.750